BaSc2Si | PBEsol | optimized geometry

a = 3.8929 Å, b = 4.5179 Å, c = 11.6137 Å
α = 90.00°, β = 90.00°, γ = 90.00°
Space group Imm2 (No. 44)
Unique sites:
Ba: 0.0000 0.0000 0.0000 [2 per cell]
Sc: 0.0000 0.0000 0.6038 [2 per cell]
Sc: 0.0000 0.5000 0.7892 [2 per cell]
Si: 0.0000 0.5000 0.2579 [2 per cell]

Output
electronic total energy: -42.6 eV/cell
formation energy without anion corrections: -0.043 eV per atom
magnetic moment: 0.00 μB/atom
V: 102.1 Å³/f.u.